# KCrOs2

Crystalline KCrOs2 at its relaxed geometry (PBE, Alexandria via LeMat-Bulk).

The relative energy among the computed polymorphs comes out at 580 meV/atom. The value obtained for the energy relative to the elements is 122.9 kJ/mol of atoms. The density of states at the Fermi level comes out at 7.603 states/eV/cell.

It has space group Imm2 (No. 44), with a = 2.702 Å, b = 5.350 Å, c = 10.460 Å, α = 90.00°, β = 90.00° and γ = 90.00°. Symmetry generates all atoms from K at (0.000, 0.000, 0.000), Cr at (0.000, 0.500, 0.207), Os at (0.000, 0.000, 0.503) and Os at (0.000, 0.500, 0.794).

---

# TbScTlAu

Crystalline TbScTlAu at its relaxed geometry (PBE, Alexandria via LeMat-Bulk).

The relative energy among the computed polymorphs comes out at 51 meV/atom. The value obtained for the energy relative to the elements is -50.6 kJ/mol of atoms. The density of states at the Fermi level comes out at 14.501 states/eV/cell.

It has space group F-43m (No. 216), with a = 7.235 Å, b = 7.235 Å, c = 7.235 Å, α = 90.00°, β = 90.00° and γ = 90.00°. Symmetry generates all atoms from Tb at (0.000, 0.000, 0.000), Sc at (0.000, 0.000, 0.500), Tl at (0.250, 0.250, 0.250) and Au at (0.250, 0.250, 0.750).

---

Q: What is the formula in the first record?
A: KCrOs2

---

Copy entry 2 word for word.
# TbScTlAu

Crystalline TbScTlAu at its relaxed geometry (PBE, Alexandria via LeMat-Bulk).

The relative energy among the computed polymorphs comes out at 51 meV/atom. The value obtained for the energy relative to the elements is -50.6 kJ/mol of atoms. The density of states at the Fermi level comes out at 14.501 states/eV/cell.

It has space group F-43m (No. 216), with a = 7.235 Å, b = 7.235 Å, c = 7.235 Å, α = 90.00°, β = 90.00° and γ = 90.00°. Symmetry generates all atoms from Tb at (0.000, 0.000, 0.000), Sc at (0.000, 0.000, 0.500), Tl at (0.250, 0.250, 0.250) and Au at (0.250, 0.250, 0.750).

---

Q: Among the records above, which one has the highest relative energy among the computed polymorphs?
A: KCrOs2